Entry 1:
This record from Alexandria via LeMat-Bulk describes a geometry-optimized ReSiAs2Br structure. The functional is PBE-GGA.

a b c (Å): 4.825 4.825 4.741
angles (deg): 90.00 90.00 90.00
Fractional coordinates of all 5 atoms:
Br  0.000  0.000  0.500
As  0.000  0.500  0.000
As  0.500  0.000  0.000
Si  0.000  0.000  0.000
Re  0.500  0.500  0.500

ΔE_f (raw) in eV/atom: 1.397
ρ in g cm⁻³: 6.7
Density of states at the Fermi level in states/eV per atom: 0.446
Total moment in μB/cell: 3.22
Final energy in eV/cell: -21.86



Entry 2:
This record from Alexandria via LeMat-Bulk describes a geometry-optimized Y4Al3Pd structure. The functional is PBE-GGA.

a b c (Å): 3.576 3.576 14.446
angles (deg): 90.00 90.00 90.00
Fractional coordinates of all 8 atoms:
Pd  0.500  0.500  0.000
Al  0.500  0.500  0.754
Al  0.500  0.500  0.500
Al  0.500  0.500  0.246
Y  0.000  0.000  0.882
Y  0.000  0.000  0.627
Y  0.000  0.000  0.373
Y  0.000  0.000  0.118

ρ in g cm⁻³: 4.9
Density of states at the Fermi level in states/eV per atom: 0.385
Total moment in μB/cell: 0.00
Final energy in eV/cell: -46.54
Energy relative to the elements in eV per atom: -0.53



Entry 3:
This record from Alexandria via LeMat-Bulk describes a geometry-optimized Bi2AsOs2 structure. The functional is PBE-GGA.

a b c (Å): 8.151 8.151 3.159
angles (deg): 90.00 90.00 90.00
Fractional coordinates of all 10 atoms:
As  0.500  0.500  0.000
As  0.000  0.000  0.000
Bi  0.848  0.652  0.000
Bi  0.652  0.152  0.000
Bi  0.152  0.348  0.000
Bi  0.348  0.848  0.000
Os  0.141  0.641  0.500
Os  0.859  0.359  0.500
Os  0.359  0.141  0.500
Os  0.641  0.859  0.500

ρ in g cm⁻³: 13.8
Density of states at the Fermi level in states/eV per atom: 1.113
Total moment in μB/cell: 0.00
Final energy in eV/cell: -57.96
Energy relative to the elements in eV per atom: 1.18



Entry 4:
This record from Alexandria via LeMat-Bulk describes a geometry-optimized GeS5Br structure. The functional is PBE-GGA.

a b c (Å): 11.611 4.838 8.247
angles (deg): 122.72 142.95 69.03
Fractional coordinates of all 7 atoms:
S  0.676  0.785  0.036
S  0.507  0.929  0.720
S  0.262  0.760  0.730
S  0.207  0.833  0.460
S  0.370  0.221  0.098
Br  0.817  0.809  0.626
Ge  0.692  0.193  0.391

ΔE_f (raw) in eV/atom: -0.062
ρ in g cm⁻³: 2.2
Density of states at the Fermi level in states/eV per atom: 0.163
Total moment in μB/cell: 0.00
Final energy in eV/cell: -27.36



Entry 5:
This record from Alexandria via LeMat-Bulk describes a geometry-optimized TmZn9Ni2 structure. The functional is PBE-GGA.

a b c (Å): 2.959 8.437 8.437
angles (deg): 120.00 90.00 90.00
Fractional coordinates of all 12 atoms:
Zn  0.500  0.188  0.376
Zn  0.500  0.188  0.812
Zn  0.500  0.812  0.624
Zn  0.500  0.812  0.188
Zn  0.000  0.500  0.000
Zn  0.500  0.624  0.812
Zn  0.500  0.376  0.188
Zn  0.000  0.000  0.500
Zn  0.000  0.500  0.500
Tm  0.000  0.000  0.000
Ni  0.000  0.667  0.333
Ni  0.000  0.333  0.667

ρ in g cm⁻³: 8.0
Density of states at the Fermi level in states/eV per atom: 0.366
Total moment in μB/cell: 0.00
Final energy in eV/cell: -29.55
Energy relative to the elements in eV per atom: -0.17



Entry 6:
This record from Alexandria via LeMat-Bulk describes a geometry-optimized PmEuNiIr structure. The functional is PBE-GGA.

a b c (Å): 4.946 4.946 4.946
angles (deg): 60.00 60.00 60.00
Fractional coordinates of all 4 atoms:
Ni  0.250  0.250  0.250
Pm  0.000  0.000  0.000
Ir  0.750  0.750  0.750
Eu  0.500  0.500  0.500

ρ in g cm⁻³: 10.6
Density of states at the Fermi level in states/eV per atom: 3.142
Total moment in μB/cell: 6.71
Final energy in eV/cell: -30.96
Energy relative to the elements in eV per atom: -0.32